No. 1
First-principles (PBEsol) data for a geometry-optimized GaCuO2F structure, as listed in Alexandria via LeMat-Bulk.

Cell lengths 3.508, 4.221, 4.221 Å; angles 90.00, 90.00, 90.00 degrees
Site moments in Bohr magnetons follow the coordinates.
Atoms (fractional coordinates):
O  0.000  0.000  0.500  0.66
O  0.000  0.500  0.000  0.66
Cu  0.500  0.500  0.500  0.08
Ga  0.500  0.000  0.000  -0.01
F  0.000  0.000  0.000  0.19

Raw total energy, eV per atom: -3.51
Volume, Å³/atom: 12.50
Energy relative to the elements, uncorrected, eV/f.u.: 2.55

---

No. 2
First-principles (PBEsol) data for a geometry-optimized Y2GaCuF structure, as listed in Alexandria via LeMat-Bulk.

Cell lengths 4.299, 5.267, 5.267 Å; angles 90.00, 90.00, 90.00 degrees
Atoms (fractional coordinates):
Y  0.000  0.000  0.500
Y  0.000  0.500  0.000
Cu  0.000  0.000  0.000
Ga  0.500  0.000  0.000
F  0.500  0.500  0.500

Raw total energy, eV per atom: -5.07
Volume, Å³/atom: 23.85
Energy relative to the elements, uncorrected, eV/f.u.: -2.12

---

No. 3
First-principles (PBEsol) data for a geometry-optimized NaGdCu2F8 structure, as listed in Alexandria via LeMat-Bulk.

Cell lengths 5.395, 5.395, 6.390 Å; angles 114.97, 114.97, 90.00 degrees
Site moments in Bohr magnetons follow the coordinates.
Atoms (fractional coordinates):
Na  0.500  0.500  0.000  0.00
Gd  0.000  0.000  0.000  6.92
Cu  0.250  0.750  0.500  0.70
Cu  0.750  0.250  0.500  0.70
F  0.564  0.708  0.756  0.07
F  0.192  0.048  0.756  0.07
F  0.708  0.192  0.756  0.07
F  0.808  0.292  0.244  0.07
F  0.048  0.564  0.756  0.07
F  0.436  0.952  0.244  0.07
F  0.952  0.808  0.244  0.07
F  0.292  0.436  0.244  0.07

Raw total energy, eV per atom: -5.92
Volume, Å³/atom: 12.43
Energy relative to the elements, uncorrected, eV/f.u.: -31.07

---

No. 4
First-principles (PBEsol) data for a geometry-optimized KCu2P2H3O8F2 structure, as listed in Alexandria via LeMat-Bulk.

Cell lengths 5.541, 5.541, 7.551 Å; angles 98.78, 109.11, 110.23 degrees
Site moments in Bohr magnetons follow the coordinates.
Atoms (fractional coordinates):
K  0.000  0.000  0.000  0.00
Cu  0.000  0.000  0.500  0.68
Cu  0.500  0.500  0.500  0.68
P  0.804  0.435  0.238  0.01
P  0.196  0.565  0.762  0.01
H  0.500  0.000  0.500  0.00
H  0.490  0.798  0.287  0.00
H  0.510  0.202  0.713  0.00
O  0.006  0.313  0.318  0.01
O  0.994  0.687  0.682  0.01
O  0.938  0.738  0.269  0.06
O  0.531  0.332  0.269  0.06
O  0.062  0.262  0.731  0.06
O  0.469  0.668  0.731  0.06
O  0.416  0.152  0.569  0.15
O  0.584  0.848  0.431  0.15
F  0.688  0.314  0.002  0.01
F  0.312  0.686  0.998  0.01

Raw total energy, eV per atom: -5.95
Volume, Å³/atom: 10.90

---

No. 5
First-principles (PBEsol) data for a geometry-optimized CuH4O2F2 structure, as listed in Alexandria via LeMat-Bulk.

Cell lengths 3.321, 4.896, 4.896 Å; angles 94.84, 103.44, 103.44 degrees
Site moments in Bohr magnetons follow the coordinates.
Atoms (fractional coordinates):
H  0.792  0.228  0.547  0.00
H  0.792  0.547  0.228  0.00
H  0.208  0.772  0.453  0.00
H  0.208  0.453  0.772  0.00
Cu  0.000  0.000  0.000  0.06
O  0.000  0.261  0.739  0.06
O  0.000  0.739  0.261  0.71
F  0.460  0.765  0.765  0.07
F  0.540  0.235  0.235  0.07

Raw total energy, eV per atom: -4.77
Volume, Å³/atom: 8.28

---

No. 6
First-principles (PBEsol) data for a geometry-optimized Cu3H2O2F4 structure, as listed in Alexandria via LeMat-Bulk.

Cell lengths 4.786, 5.447, 8.335 Å; angles 92.29, 90.00, 90.00 degrees
Site moments in Bohr magnetons follow the coordinates.
Atoms (fractional coordinates):
Cu  0.554  0.988  0.326  0.69
Cu  0.946  0.488  0.826  0.69
Cu  0.446  0.012  0.674  0.69
Cu  0.054  0.512  0.174  0.69
Cu  0.500  0.500  0.500  0.67
Cu  0.000  0.000  0.000  0.67
H  0.870  0.215  0.555  0.00
H  0.630  0.715  0.055  0.00
H  0.130  0.785  0.445  0.00
H  0.370  0.285  0.945  0.00
O  0.669  0.184  0.518  0.23
O  0.831  0.684  0.018  0.23
O  0.331  0.816  0.482  0.23
O  0.169  0.316  0.982  0.23
F  0.697  0.649  0.684  0.13
F  0.803  0.149  0.184  0.13
F  0.303  0.351  0.316  0.13
F  0.197  0.851  0.816  0.13
F  0.624  0.184  0.853  0.07
F  0.876  0.684  0.353  0.07
F  0.376  0.816  0.147  0.07
F  0.124  0.316  0.647  0.07

Raw total energy, eV per atom: -4.67
Volume, Å³/atom: 9.87

---

No. 7
First-principles (PBEsol) data for a geometry-optimized CuPH4O5F structure, as listed in Alexandria via LeMat-Bulk.

Cell lengths 7.467, 7.649, 8.990 Å; angles 90.00, 113.09, 90.00 degrees
Site moments in Bohr magnetons follow the coordinates.
Atoms (fractional coordinates):
Cu  0.380  0.686  0.946  0.65
Cu  0.620  0.186  0.554  0.65
Cu  0.620  0.314  0.054  0.65
Cu  0.380  0.814  0.446  0.65
P  0.449  0.491  0.681  0.01
P  0.551  0.991  0.819  0.01
P  0.551  0.509  0.319  0.01
P  0.449  0.009  0.181  0.01
H  0.999  0.774  0.191  0.00
H  0.001  0.274  0.309  0.00
H  0.001  0.226  0.809  0.00
H  0.999  0.726  0.691  0.00
H  0.805  0.755  0.025  0.00
H  0.195  0.255  0.475  0.00
H  0.195  0.245  0.975  0.00
H  0.805  0.745  0.525  0.00
H  0.052  0.673  0.962  0.00
H  0.948  0.173  0.538  0.00
H  0.948  0.327  0.038  0.00
H  0.052  0.827  0.462  0.00
H  0.085  0.490  0.882  0.00
H  0.915  0.990  0.618  0.00
H  0.915  0.510  0.118  0.00
H  0.085  0.010  0.382  0.00
O  0.416  0.475  0.839  0.10
O  0.584  0.975  0.661  0.10
O  0.584  0.525  0.161  0.10
O  0.416  0.025  0.339  0.10
O  0.414  0.318  0.589  0.06
O  0.586  0.818  0.911  0.06
O  0.586  0.682  0.411  0.06
O  0.414  0.182  0.089  0.06
O  0.336  0.644  0.582  0.07
O  0.664  0.144  0.918  0.07
O  0.664  0.356  0.418  0.07
O  0.336  0.856  0.082  0.07
O  0.940  0.706  0.088  0.00
O  0.060  0.206  0.412  0.00
O  0.060  0.294  0.912  0.00
O  0.940  0.794  0.588  0.00
O  0.103  0.624  0.880  0.07
O  0.897  0.124  0.620  0.07
O  0.897  0.376  0.120  0.07
O  0.103  0.876  0.380  0.07
F  0.674  0.527  0.734  0.00
F  0.326  0.027  0.766  0.00
F  0.326  0.473  0.266  0.00
F  0.674  0.973  0.234  0.00

Raw total energy, eV per atom: -5.72
Volume, Å³/atom: 9.84

---

No. 8
First-principles (PBEsol) data for a geometry-optimized CuSb2H12O6F8 structure, as listed in Alexandria via LeMat-Bulk.

Cell lengths 4.861, 6.804, 17.951 Å; angles 90.00, 90.00, 101.83 degrees
Site moments in Bohr magnetons follow the coordinates.
Atoms (fractional coordinates):
Cu  0.000  0.500  0.000  0.70
Cu  0.500  0.000  0.500  0.70
Sb  0.129  0.986  0.219  0.00
Sb  0.871  0.014  0.781  0.00
Sb  0.371  0.514  0.719  0.00
Sb  0.629  0.486  0.281  0.00
H  0.795  0.028  0.381  0.00
H  0.369  0.354  0.440  0.00
H  0.945  0.185  0.443  0.00
H  0.241  0.338  0.522  0.00
H  0.384  0.706  0.412  0.00
H  0.673  0.349  0.112  0.00
H  0.884  0.206  0.088  0.00
H  0.741  0.838  0.978  0.00
H  0.759  0.662  0.478  0.00
H  0.555  0.315  0.943  0.00
H  0.055  0.815  0.557  0.00
H  0.869  0.854  0.060  0.00
H  0.705  0.472  0.881  0.00
H  0.116  0.794  0.912  0.00
H  0.445  0.685  0.057  0.00
H  0.259  0.162  0.022  0.00
H  0.631  0.646  0.560  0.00
H  0.827  0.151  0.612  0.00
H  0.131  0.146  0.940  0.00
H  0.295  0.528  0.119  0.00
H  0.205  0.972  0.619  0.00
H  0.327  0.651  0.888  0.00
H  0.616  0.294  0.588  0.00
H  0.173  0.849  0.388  0.00
O  0.273  0.803  0.432  0.07
O  0.740  0.764  0.025  0.00
O  0.727  0.197  0.568  0.07
O  0.240  0.264  0.475  0.00
O  0.747  0.380  0.920  0.08
O  0.260  0.236  0.975  0.00
O  0.227  0.697  0.932  0.07
O  0.760  0.736  0.525  0.00
O  0.247  0.880  0.580  0.08
O  0.773  0.303  0.068  0.07
O  0.253  0.620  0.080  0.08
O  0.753  0.120  0.420  0.08
F  0.416  0.453  0.602  0.00
F  0.584  0.547  0.398  0.00
F  0.825  0.754  0.190  0.00
F  0.954  0.887  0.324  0.00
F  0.658  0.350  0.723  0.00
F  0.158  0.850  0.777  0.00
F  0.342  0.650  0.277  0.00
F  0.842  0.150  0.223  0.00
F  0.675  0.746  0.690  0.00
F  0.916  0.953  0.898  0.00
F  0.175  0.246  0.810  0.00
F  0.046  0.113  0.676  0.00
F  0.546  0.613  0.824  0.00
F  0.454  0.387  0.176  0.00
F  0.325  0.254  0.310  0.00
F  0.084  0.047  0.102  0.00

Raw total energy, eV per atom: -4.93
Volume, Å³/atom: 10.02

---

No. 9
First-principles (PBEsol) data for a geometry-optimized HfCuF2 structure, as listed in Alexandria via LeMat-Bulk.

Cell lengths 3.039, 3.039, 8.384 Å; angles 79.56, 79.56, 60.00 degrees
Atoms (fractional coordinates):
Hf  0.000  0.000  0.000
Cu  0.500  0.500  0.500
F  0.921  0.921  0.236
F  0.079  0.079  0.764

Raw total energy, eV per atom: -5.99
Volume, Å³/atom: 16.39
Energy relative to the elements, uncorrected, eV/f.u.: -5.28

---

No. 10
First-principles (PBEsol) data for a geometry-optimized HfCuOF2 structure, as listed in Alexandria via LeMat-Bulk.

Cell lengths 3.972, 4.155, 4.155 Å; angles 90.00, 90.00, 90.00 degrees
Atoms (fractional coordinates):
Hf  0.000  0.000  0.000
O  0.500  0.000  0.000
Cu  0.500  0.500  0.500
F  0.000  0.000  0.500
F  0.000  0.500  0.000

Raw total energy, eV per atom: -6.93
Volume, Å³/atom: 13.71
Energy relative to the elements, uncorrected, eV/f.u.: -10.72

---

No. 11
First-principles (PBEsol) data for a geometry-optimized HfCuO2F structure, as listed in Alexandria via LeMat-Bulk.

Cell lengths 4.038, 4.038, 4.040 Å; angles 90.00, 90.00, 90.00 degrees
Atoms (fractional coordinates):
Hf  0.000  0.000  0.000
O  0.000  0.500  0.000
O  0.500  0.000  0.000
Cu  0.500  0.500  0.500
F  0.000  0.000  0.500

Raw total energy, eV per atom: -7.59
Volume, Å³/atom: 13.18
Energy relative to the elements, uncorrected, eV/f.u.: -10.68

---

No. 12
First-principles (PBEsol) data for a geometry-optimized CuHg3F structure, as listed in Alexandria via LeMat-Bulk.

Cell lengths 4.766, 4.766, 4.766 Å; angles 90.00, 90.00, 90.00 degrees
Atoms (fractional coordinates):
Hg  0.000  0.500  0.000
Hg  0.000  0.000  0.500
Hg  0.500  0.000  0.000
Cu  0.500  0.500  0.500
F  0.000  0.000  0.000

Raw total energy, eV per atom: -1.30
Volume, Å³/atom: 21.65
Energy relative to the elements, uncorrected, eV/f.u.: 1.45

---

No. 13
First-principles (PBEsol) data for a geometry-optimized CuHgF2 structure, as listed in Alexandria via LeMat-Bulk.

Cell lengths 3.046, 3.046, 7.733 Å; angles 78.64, 78.64, 60.00 degrees
Site moments in Bohr magnetons follow the coordinates.
Atoms (fractional coordinates):
Hg  0.000  0.000  0.000  -0.01
Cu  0.500  0.500  0.500  0.53
F  0.881  0.881  0.358  0.07
F  0.119  0.119  0.642  0.07

Raw total energy, eV per atom: -3.26
Volume, Å³/atom: 15.12
Energy relative to the elements, uncorrected, eV/f.u.: -4.30

---

No. 14
First-principles (PBEsol) data for a geometry-optimized TiCuHgF2 structure, as listed in Alexandria via LeMat-Bulk.

Cell lengths 4.382, 4.382, 5.024 Å; angles 90.00, 90.00, 90.00 degrees
Site moments in Bohr magnetons follow the coordinates.
Atoms (fractional coordinates):
F  0.000  0.500  0.000  0.02
F  0.500  0.000  0.000  0.02
Hg  0.000  0.000  0.000  0.01
Cu  0.000  0.000  0.500  -0.01
Ti  0.500  0.500  0.500  1.89

Raw total energy, eV per atom: -3.41
Volume, Å³/atom: 19.29
Energy relative to the elements, uncorrected, eV/f.u.: 0.02

---

No. 15
First-principles (PBEsol) data for a geometry-optimized CuIF2 structure, as listed in Alexandria via LeMat-Bulk.

Cell lengths 3.184, 3.184, 8.984 Å; angles 79.79, 79.79, 60.00 degrees
Site moments in Bohr magnetons follow the coordinates.
Atoms (fractional coordinates):
I  0.000  0.000  0.000  0.00
Cu  0.500  0.500  0.500  0.68
F  0.868  0.868  0.397  0.12
F  0.132  0.132  0.603  0.12

Raw total energy, eV per atom: -3.46
Volume, Å³/atom: 19.30
Energy relative to the elements, uncorrected, eV/f.u.: -3.88

---

No. 16
First-principles (PBEsol) data for a geometry-optimized LiCuIF2 structure, as listed in Alexandria via LeMat-Bulk.

Cell lengths 4.594, 5.088, 5.088 Å; angles 90.00, 90.00, 90.00 degrees
Atoms (fractional coordinates):
I  0.000  0.000  0.000
Li  0.500  0.500  0.500
Cu  0.500  0.000  0.000
F  0.000  0.000  0.500
F  0.000  0.500  0.000

Raw total energy, eV per atom: -2.90
Volume, Å³/atom: 23.79
Energy relative to the elements, uncorrected, eV/f.u.: -2.56

---

No. 17
First-principles (PBEsol) data for a geometry-optimized CuINF2 structure, as listed in Alexandria via LeMat-Bulk.

Cell lengths 3.999, 4.581, 4.581 Å; angles 90.00, 90.00, 90.00 degrees
Atoms (fractional coordinates):
I  0.000  0.000  0.000
N  0.500  0.000  0.000
Cu  0.500  0.500  0.500
F  0.000  0.000  0.500
F  0.000  0.500  0.000

Raw total energy, eV per atom: -3.22
Volume, Å³/atom: 16.79
Energy relative to the elements, uncorrected, eV/f.u.: 2.40

---

No. 18
First-principles (PBEsol) data for a geometry-optimized CuI2NF structure, as listed in Alexandria via LeMat-Bulk.

Cell lengths 3.483, 5.392, 5.392 Å; angles 90.00, 90.00, 90.00 degrees
Site moments in Bohr magnetons follow the coordinates.
Atoms (fractional coordinates):
I  0.000  0.000  0.500  0.23
I  0.000  0.500  0.000  0.23
N  0.500  0.000  0.000  0.81
Cu  0.000  0.000  0.000  0.21
F  0.500  0.500  0.500  0.27

Raw total energy, eV per atom: -3.05
Volume, Å³/atom: 20.25
Energy relative to the elements, uncorrected, eV/f.u.: 3.09

---

No. 19
First-principles (PBEsol) data for a geometry-optimized RbCuIF2 structure, as listed in Alexandria via LeMat-Bulk.

Cell lengths 4.533, 4.533, 5.000 Å; angles 90.00, 90.00, 90.00 degrees
Atoms (fractional coordinates):
I  0.000  0.000  0.500
Cu  0.000  0.000  0.000
Rb  0.500  0.500  0.500
F  0.000  0.500  0.000
F  0.500  0.000  0.000

Raw total energy, eV per atom: -3.46
Volume, Å³/atom: 20.54
Energy relative to the elements, uncorrected, eV/f.u.: -6.33

---

No. 20
First-principles (PBEsol) data for a geometry-optimized NaInCu2F structure, as listed in Alexandria via LeMat-Bulk.

Cell lengths 4.529, 4.529, 5.840 Å; angles 90.00, 90.00, 90.00 degrees
Atoms (fractional coordinates):
Na  0.000  0.000  0.000
F  0.500  0.500  0.500
Cu  0.000  0.500  0.000
Cu  0.500  0.000  0.000
In  0.000  0.000  0.500

Raw total energy, eV per atom: -2.21
Volume, Å³/atom: 23.96
Energy relative to the elements, uncorrected, eV/f.u.: 3.94